## Sc2AgOs (meta-GGA SCAN)

Data for Sc2AgOs at its PBEsol-relaxed geometry.

Cell and atoms, written as POSCAR:
```
Sc2AgOs
1.0
4.605 0.000 0.000
2.303 3.988 0.000
2.303 1.329 3.760
Ag Sc Os
1 2 1
Cartesian
4.605 2.659 1.880 Ag
6.908 3.988 2.820 Sc
2.303 1.329 0.940 Sc
0.000 0.000 0.000 Os
```

Calculated values
Polymorph energy (0 for the lowest one)   1.57 kcal/mol of atoms
Formation enthalpy at 0 K   -0.50 eV/atom
Space group   No. 225